Record 1
VASP calculation (PBE) on a relaxed LuFeGeW crystal.

Values from the calculation:
relative energy among the computed polymorphs = 0 meV/atom
V = 16.2 Å³ per atom
total magnetization = 0.72 μB/atom
total energy = -7.187 eV/atom
SG = F-43m, No. 216

Lattice parameters (Å, degrees): 4.512 4.512 4.512 60.00 60.00 60.00
Sites, in units of the cell vectors:
Ge: 0.000 0.000 0.000
W: 0.250 0.250 0.250
Fe: 0.750 0.750 0.750
Lu: 0.500 0.500 0.500

Record 2
VASP calculation (PBE) on a relaxed LuZnFeGe crystal.

Values from the calculation:
relative energy among the computed polymorphs = 0 meV/atom
V = 16.8 Å³ per atom
total magnetization = 0.54 μB/atom
total energy = -4.813 eV/atom
SG = F-43m, No. 216

Lattice parameters (Å, degrees): 4.560 4.560 4.560 60.00 60.00 60.00
Sites, in units of the cell vectors:
Lu: 0.250 0.250 0.250
Zn: 0.500 0.500 0.500
Fe: 0.750 0.750 0.750
Ge: 0.000 0.000 0.000

Record 3
VASP calculation (PBE) on a relaxed LuZnFeGe crystal.

Values from the calculation:
relative energy among the computed polymorphs = 123 meV/atom
V = 16.4 Å³ per atom
total magnetization = 0.41 μB/atom
total energy = -4.690 eV/atom
SG = F-43m, No. 216

Lattice parameters (Å, degrees): 4.524 4.524 4.524 60.00 60.00 60.00
Sites, in units of the cell vectors:
Ge: 0.000 0.000 0.000
Fe: 0.750 0.750 0.750
Lu: 0.500 0.500 0.500
Zn: 0.250 0.250 0.250

Record 4
VASP calculation (PBE) on a relaxed MgFe2Ge crystal.

Values from the calculation:
V = 12.9 Å³ per atom
total magnetization = 0.41 μB/atom
total energy = -5.592 eV/atom
SG = Pm-3m, No. 221

Lattice parameters (Å, degrees): 5.907 5.907 5.907 90.00 90.00 90.00
Sites, in units of the cell vectors:
Ge: 0.500 0.000 0.000
Ge: 0.000 0.000 0.500
Fe: 0.232 0.232 0.232
Fe: 0.768 0.232 0.768
Fe: 0.232 0.768 0.768
Mg: 0.500 0.000 0.500
Ge: 0.000 0.000 0.000
Ge: 0.000 0.500 0.000
Mg: 0.500 0.500 0.500
Fe: 0.232 0.232 0.768
Fe: 0.232 0.768 0.232
Fe: 0.768 0.232 0.232
Mg: 0.000 0.500 0.500
Mg: 0.500 0.500 0.000
Fe: 0.768 0.768 0.768
Fe: 0.768 0.768 0.232